Compound: Mg2TaBe
Source: OQMD
Functional: PBE
Structure: relaxed

Lattice parameters (Å, degrees): 4.5454 4.5454 4.5454 60.00 60.00 60.00
Last column: magnetic moment on the atom in μB.
Fractional coordinates of all 4 atoms:
Mg  0.7500  0.7500  0.7500  0.00
Mg  0.0000  0.0000  0.0000  0.00
Be  0.5000  0.5000  0.5000  0.00
Ta  0.2500  0.2500  0.2500  0.32

**Calculated total energy**: -4.13 eV/atom